Computed, not measured: a relaxed structure of YMn3Al at the PBE level of DFT.

CIF file:
```
data_YMn3Al
_cell_length_a 4.885
_cell_length_b 4.885
_cell_length_c 4.885
_cell_angle_alpha 90.00
_cell_angle_beta 90.00
_cell_angle_gamma 90.00
_space_group_name_H-M_alt 'P 1'
_space_group_IT_number 1
loop_
_space_group_symop_operation_xyz
'x,y,z'
loop_
_atom_site_label
_atom_site_type_symbol
_atom_site_fract_x
_atom_site_fract_y
_atom_site_fract_z
_atom_site_occupancy
Al1 Al 0.500 0.500 0.500 1
Mn1 Mn 0.500 0.000 0.000 1
Y1 Y 0.000 0.000 0.000 1
Mn2 Mn 0.000 0.000 0.500 1
Mn3 Mn 0.000 0.500 0.000 1
```

Crystal system: cubic
ρ: 4.00 g/cm³
Energy: -5.912 eV/atom
Space group: Pm-3m, No. 221
Formation enthalpy at 0 K: 1.63 eV/atom
Magnetization: 10.1 μB per formula unit